(1)
A geometry-optimized TlSiRu structure. Source: Alexandria, functional PBE-GGA.

Computed properties:
The energy above the most stable polymorph in this dataset comes out at 113.6 meV per atom. The calculation puts the energy relative to the elements, uncorrected at 0.2230 eV/atom. The density of states at the Fermi level is 0.735 states/eV/atom. For the total energy, the calculation gives -5.47 eV/atom.

a = 4.0706 Å, b = 4.0706 Å, c = 3.8672 Å
α = 90.00°, β = 90.00°, γ = 120.00°
Fractional coordinates of all 3 atoms:
Si (0.6667, 0.3333, 0.1663)
Ru (0.0000, 0.0000, 0.1671)
Tl (0.3333, 0.6667, 0.6666)

***

(2)
A geometry-optimized Tl2SiRu2 structure. Source: Alexandria, functional PBE-GGA.

Computed properties:
The energy above the most stable polymorph in this dataset comes out at 0.0 meV per atom. The calculation puts the energy relative to the elements, uncorrected at 0.1871 eV/atom. The density of states at the Fermi level is 0.506 states/eV/atom. For the total energy, the calculation gives -5.55 eV/atom.

a = 6.3681 Å, b = 6.3681 Å, c = 4.4941 Å
α = 90.00°, β = 90.00°, γ = 90.00°
Fractional coordinates of all 10 atoms:
Ru (0.1579, 0.3421, 0.0000)
Ru (0.3421, 0.8421, 0.0000)
Ru (0.8421, 0.6579, 0.0000)
Ru (0.6579, 0.1579, 0.0000)
Si (0.5000, 0.5000, 0.0000)
Si (0.0000, 0.0000, 0.0000)
Tl (0.3358, 0.1642, 0.5000)
Tl (0.8358, 0.3358, 0.5000)
Tl (0.1642, 0.6642, 0.5000)
Tl (0.6642, 0.8358, 0.5000)

***

(3)
A geometry-optimized TlZnSiRu2 structure. Source: Alexandria, functional PBE-GGA.

Computed properties:
The calculation puts the energy relative to the elements, uncorrected at 1.1590 eV/atom. The density of states at the Fermi level is 0.899 states/eV/atom. For the total energy, the calculation gives -4.36 eV/atom.

a = 4.6930 Å, b = 4.2436 Å, c = 4.6930 Å
α = 90.00°, β = 90.00°, γ = 90.00°
Fractional coordinates of all 5 atoms:
Si (0.0000, 0.5000, 0.0000)
Ru (0.5000, 0.0000, 0.0000)
Ru (0.0000, 0.0000, 0.5000)
Tl (0.5000, 0.5000, 0.5000)
Zn (0.0000, 0.0000, 0.0000)

***

(4)
A geometry-optimized TmSiRu2 structure. Source: Alexandria, functional PBE-GGA.

Computed properties:
The calculation puts the energy relative to the elements, uncorrected at -0.5136 eV/atom. The density of states at the Fermi level is 0.739 states/eV/atom. For the total energy, the calculation gives -7.63 eV/atom.

a = 3.1305 Å, b = 3.1305 Å, c = 6.3882 Å
α = 90.00°, β = 90.00°, γ = 90.00°
Fractional coordinates of all 4 atoms:
Tm (0.5000, 0.5000, 0.5000)
Si (0.5000, 0.5000, 0.0000)
Ru (0.0000, 0.0000, 0.2126)
Ru (0.0000, 0.0000, 0.7874)

***

(5)
A geometry-optimized Tm2Si7Ru12 structure. Source: Alexandria, functional PBE-GGA.

Computed properties:
The calculation puts the energy relative to the elements, uncorrected at -0.5886 eV/atom. The density of states at the Fermi level is 1.028 states/eV/atom. For the total energy, the calculation gives -8.12 eV/atom.

a = 3.9294 Å, b = 9.5841 Å, c = 9.5841 Å
α = 120.00°, β = 90.00°, γ = 90.00°
Fractional coordinates of all 21 atoms:
Ru (0.0000, 0.4874, 0.9438)
Ru (0.0000, 0.4565, 0.5126)
Ru (0.5000, 0.7170, 0.0986)
Ru (0.5000, 0.3816, 0.2830)
Ru (0.5000, 0.9014, 0.6184)
Ru (0.5000, 0.5424, 0.7635)
Ru (0.0000, 0.2761, 0.0407)
Ru (0.0000, 0.0562, 0.5435)
Ru (0.5000, 0.2212, 0.4576)
Ru (0.5000, 0.2365, 0.7788)
Ru (0.0000, 0.7646, 0.7239)
Ru (0.0000, 0.9593, 0.2354)
Si (0.0000, 0.7412, 0.9571)
Si (0.0000, 0.3333, 0.6667)
Si (0.0000, 0.2159, 0.2588)
Si (0.0000, 0.0429, 0.7841)
Si (0.5000, 0.4421, 0.0664)
Si (0.5000, 0.9336, 0.3757)
Si (0.5000, 0.6243, 0.5579)
Tm (0.0000, 0.6667, 0.3333)
Tm (0.5000, 0.0000, 0.0000)

***

(6)
A geometry-optimized Tm2Si3Ru5 structure. Source: Alexandria, functional PBE-GGA.

Computed properties:
The calculation puts the energy relative to the elements, uncorrected at -0.6364 eV/atom. The density of states at the Fermi level is 0.793 states/eV/atom. For the total energy, the calculation gives -7.80 eV/atom.

a = 4.1141 Å, b = 6.2982 Å, c = 12.2603 Å
α = 90.00°, β = 99.66°, γ = 90.00°
Fractional coordinates of all 20 atoms:
Ru (0.3999, 0.3988, 0.7998)
Ru (0.6001, 0.8988, 0.2002)
Ru (0.2936, 0.5202, 0.5873)
Ru (0.2917, 0.9383, 0.5834)
Ru (0.9441, 0.0820, 0.8882)
Ru (0.1280, 0.2409, 0.2560)
Ru (0.8720, 0.7409, 0.7440)
Ru (0.0559, 0.5820, 0.1118)
Ru (0.7083, 0.4383, 0.4166)
Ru (0.7064, 0.0202, 0.4127)
Tm (0.1754, 0.7374, 0.3509)
Tm (0.8246, 0.2374, 0.6491)
Tm (0.4836, 0.7510, 0.9672)
Tm (0.5164, 0.2510, 0.0328)
Si (0.0522, 0.9671, 0.1044)
Si (0.2267, 0.2303, 0.4534)
Si (0.9478, 0.4671, 0.8956)
Si (0.7733, 0.7303, 0.5466)
Si (0.6112, 0.4987, 0.2224)
Si (0.3888, 0.9987, 0.7776)

***

(7)
A geometry-optimized TmSi3Ru2 structure. Source: Alexandria, functional PBE-GGA.

Computed properties:
The calculation puts the energy relative to the elements, uncorrected at -0.6208 eV/atom. The density of states at the Fermi level is 0.434 states/eV/atom. For the total energy, the calculation gives -7.17 eV/atom.

a = 4.1211 Å, b = 6.1745 Å, c = 8.2232 Å
α = 90.00°, β = 90.00°, γ = 109.50°
Fractional coordinates of all 12 atoms:
Ru (0.0000, 0.0000, 0.5000)
Ru (0.0000, 0.0000, 0.0000)
Ru (0.4702, 0.9405, 0.2500)
Ru (0.5298, 0.0595, 0.7500)
Si (0.1295, 0.2589, 0.7500)
Si (0.3835, 0.7669, 0.5229)
Si (0.6165, 0.2331, 0.0229)
Si (0.3835, 0.7669, 0.9771)
Si (0.6165, 0.2331, 0.4771)
Si (0.8705, 0.7411, 0.2500)
Tm (0.8087, 0.6174, 0.7500)
Tm (0.1913, 0.3826, 0.2500)

***

(8)
A geometry-optimized TmSi3Ru5 structure. Source: Alexandria, functional PBE-GGA.

Computed properties:
The calculation puts the energy relative to the elements, uncorrected at -0.4250 eV/atom. The density of states at the Fermi level is 0.793 states/eV/atom. For the total energy, the calculation gives -7.88 eV/atom.

a = 2.9890 Å, b = 6.7325 Å, c = 13.9383 Å
α = 90.00°, β = 90.00°, γ = 102.83°
Fractional coordinates of all 18 atoms:
Ru (0.0000, 0.0000, 0.0000)
Ru (0.5274, 0.0548, 0.8440)
Ru (0.8069, 0.6137, 0.0819)
Ru (0.1931, 0.3863, 0.5819)
Ru (0.1931, 0.3863, 0.9181)
Ru (0.8069, 0.6137, 0.4181)
Ru (0.5274, 0.0548, 0.6560)
Ru (0.0000, 0.0000, 0.5000)
Ru (0.4726, 0.9452, 0.1560)
Ru (0.4726, 0.9452, 0.3440)
Si (0.3677, 0.7354, 0.5538)
Si (0.6323, 0.2646, 0.4462)
Si (0.3677, 0.7354, 0.9462)
Si (0.6323, 0.2646, 0.0538)
Si (0.8593, 0.7185, 0.2500)
Si (0.1407, 0.2815, 0.7500)
Tm (0.1543, 0.3087, 0.2500)
Tm (0.8457, 0.6913, 0.7500)

***

(9)
A geometry-optimized TmSi2Ru4 structure. Source: Alexandria, functional PBE-GGA.

Computed properties:
The calculation puts the energy relative to the elements, uncorrected at -0.6160 eV/atom. The density of states at the Fermi level is 0.808 states/eV/atom. For the total energy, the calculation gives -8.10 eV/atom.

a = 3.8621 Å, b = 7.4804 Å, c = 7.4804 Å
α = 90.00°, β = 90.00°, γ = 90.00°
Fractional coordinates of all 14 atoms:
Ru (0.0000, 0.0793, 0.3396)
Ru (0.5000, 0.4207, 0.8396)
Ru (0.0000, 0.9207, 0.6604)
Ru (0.5000, 0.8396, 0.4207)
Ru (0.5000, 0.5793, 0.1604)
Ru (0.5000, 0.1604, 0.5793)
Ru (0.0000, 0.6604, 0.9207)
Ru (0.0000, 0.3396, 0.0793)
Si (0.0000, 0.7824, 0.2176)
Si (0.5000, 0.2824, 0.2824)
Si (0.0000, 0.2176, 0.7824)
Si (0.5000, 0.7176, 0.7176)
Tm (0.0000, 0.5000, 0.5000)
Tm (0.5000, 0.0000, 0.0000)